(1)
Below is NpCdSn after structural relaxation, with properties calculated at the GGA-PBE level.

abc: 11.7629 3.4363 7.2126
angles: 90.00 95.00 90.00
Last column: nearest neighbours and their distance in Å.
Space group C2/m (No. 12)
Asymmetric unit:
Np 0.2305 0.0000 0.1063 (multiplicity 4)  2 Np 2.37
Cd 0.1405 0.5000 0.4680 (multiplicity 4)  5 Cd 3.10-3.44, 4 Sn 3.15-3.22, 3 Np 3.30-3.37
Sn 0.0337 0.0000 0.7883 (multiplicity 4)  4 Np 3.11-3.29, 4 Cd 3.15-3.22, 3 Sn 3.22-3.44

- Fermi-level density of states: 1.258 states/eV/atom
- Electronic total energy: -5.854 eV/atom
- Calculated volume: 290.4 Å³/cell
- Total magnetization: 0.296 μB per atom

(2)
Below is NpCdSn after structural relaxation, with properties calculated at the GGA-PBE level.

abc: 5.2615 5.2615 3.0320
angles: 90.00 90.00 120.00
Last column: nearest neighbours and their distance in Å.
Space group P-6m2 (No. 187)
Asymmetric unit:
Np 0.0000 0.0000 0.0000 (multiplicity 1)  2 Np 3.03, 6 Cd 3.40, 6 Sn 3.40
Cd 0.3333 0.6667 0.5000 (multiplicity 1)  2 Cd 3.03, 3 Sn 3.04, 6 Np 3.40
Sn 0.6667 0.3333 0.5000 (multiplicity 1)  2 Sn 3.03, 3 Cd 3.04, 6 Np 3.40

- Fermi-level density of states: 2.755 states/eV/atom
- Electronic total energy: -5.890 eV/atom
- Calculated volume: 72.7 Å³/cell
- Total magnetization: 1.486 μB per atom

(3)
Below is NpCd4Sn after structural relaxation, with properties calculated at the GGA-PBE level.

abc: 8.4298 8.4298 8.4298
angles: 90.00 90.00 90.00
Last column: nearest neighbours and their distance in Å.
Space group F-43m (No. 216)
Asymmetric unit:
Np 0.0000 0.0000 0.0000 (multiplicity 4)  12 Cd 3.49, 4 Sn 3.65
Cd 0.1250 0.1250 0.3750 (multiplicity 16)  6 Cd 2.98
Sn 0.2500 0.2500 0.7500 (multiplicity 4)  12 Cd 3.49, 4 Np 3.65

- Fermi-level density of states: 1.896 states/eV/atom
- Electronic total energy: -3.230 eV/atom
- Calculated volume: 599.0 Å³/cell
- Total magnetization: 0.748 μB per atom

(4)
Below is NpZnCdSn after structural relaxation, with properties calculated at the GGA-PBE level.

abc: 7.1794 7.1794 7.1794
angles: 90.00 90.00 90.00
Last column: nearest neighbours and their distance in Å.
Space group F-43m (No. 216)
Asymmetric unit:
Np 0.0000 0.0000 0.0000 (multiplicity 4)  4 Sn 3.11, 4 Zn 3.11
Zn 0.2500 0.2500 0.7500 (multiplicity 4)  4 Cd 3.11, 4 Np 3.11
Cd 0.0000 0.0000 0.5000 (multiplicity 4)  4 Zn 3.11, 4 Sn 3.11
Sn 0.2500 0.2500 0.2500 (multiplicity 4)  4 Cd 3.11, 4 Np 3.11

- Fermi-level density of states: 2.253 states/eV/atom
- Electronic total energy: -4.644 eV/atom
- Calculated volume: 370.1 Å³/cell
- Total magnetization: 1.134 μB per atom

(5)
Below is Sr2NpCdTe5 after structural relaxation, with properties calculated at the GGA-PBE level.

abc: 4.5352 19.6593 13.9981
angles: 90.00 90.00 90.00
Last column: nearest neighbours and their distance in Å.
Space group Cmc2_1 (No. 36)
Asymmetric unit:
Sr 0.0000 0.1107 0.0000 (multiplicity 4)  6 Te 3.39-3.64
Sr 0.0000 0.1239 0.6350 (multiplicity 4)  8 Te 3.37-3.76
Np 0.0000 0.2069 0.3368 (multiplicity 4)  6 Te 3.04-3.12
Cd 0.0000 0.4423 0.7640 (multiplicity 4)  4 Te 2.76-2.98
Te 0.0000 0.0551 0.3841 (multiplicity 4)  2 Cd 2.82, 1 Np 3.06
Te 0.0000 0.2875 0.9850 (multiplicity 4)  2 Np 3.08
Te 0.0000 0.3016 0.6842 (multiplicity 4)  1 Cd 2.98, 2 Np 3.12
Te 0.0000 0.3610 0.3222 (multiplicity 4)  1 Np 3.04
Te 0.0000 0.4977 0.0856 (multiplicity 4)  1 Cd 2.76

- Fermi-level density of states: 0.916 states/eV/atom
- Formation energy from raw total energies: -1.02 eV per atom
- Calculated volume: 1248.0 Å³/cell
- Total magnetization: 0.333 μB per atom

(6)
Below is Np3Cd5Te12 after structural relaxation, with properties calculated at the GGA-PBE level.

abc: 17.6149 17.6149 17.6149
angles: 90.00 90.00 90.00
Last column: nearest neighbours and their distance in Å.
Space group Ia-3d (No. 230)
Asymmetric unit:
Np 0.0000 0.2500 0.1250 (multiplicity 24)  8 Te 3.21-3.29
Cd 0.0000 0.0000 0.0000 (multiplicity 16)  6 Te 3.01
Cd 0.0000 0.2500 0.3750 (multiplicity 24)  4 Te 2.82
Te 0.0185 0.0709 0.6542 (multiplicity 96)  2 Cd 2.82-3.01

- Fermi-level density of states: 2.101 states/eV/atom
- Formation energy from raw total energies: -0.31 eV per atom
- Calculated volume: 5465.6 Å³/cell
- Total magnetization: 0.474 μB per atom

(7)
Below is NpTlCdTe3 after structural relaxation, with properties calculated at the GGA-PBE level.

abc: 9.4684 4.5423 10.5486
angles: 90.00 106.15 90.00
Last column: nearest neighbours and their distance in Å.
Space group P2_1/m (No. 11)
Asymmetric unit:
Np 0.1775 0.2500 0.1441 (multiplicity 2)  6 Te 3.12-3.28
Tl 0.2873 0.7500 0.7794 (multiplicity 2)  5 Te 3.43-3.65
Cd 0.4141 0.7500 0.3927 (multiplicity 2)  4 Te 2.84-2.97
Te 0.0426 0.2500 0.8390 (multiplicity 2)  3 Np 3.12, 2 Tl 3.43
Te 0.2672 0.2500 0.4673 (multiplicity 2)  3 Cd 2.88-2.97
Te 0.3991 0.7500 0.1203 (multiplicity 2)  1 Cd 2.84, 2 Np 3.15

- Fermi-level density of states: 1.697 states/eV/atom
- Formation energy from raw total energies: -0.48 eV per atom
- Calculated volume: 435.8 Å³/cell
- Total magnetization: 0.667 μB per atom

(8)
Below is Np2Tl3CdTe6 after structural relaxation, with properties calculated at the GGA-PBE level.

abc: 7.6924 13.3354 8.5681
angles: 90.00 107.37 90.00
Last column: nearest neighbours and their distance in Å.
Space group C2/m (No. 12)
Asymmetric unit:
Np 0.0000 0.1666 0.0000 (multiplicity 4)  6 Te 3.09
Tl 0.0000 0.0000 0.5000 (multiplicity 2)  6 Te 3.46-3.48
Tl 0.0000 0.3322 0.5000 (multiplicity 4)  6 Te 3.45-3.50
Cd 0.0000 0.5000 0.0000 (multiplicity 2)  6 Te 3.11-3.12
Te 0.2351 0.0000 0.2124 (multiplicity 4)  2 Np 3.09, 1 Cd 3.11
Te 0.2393 0.3317 0.2135 (multiplicity 8)  2 Np 3.09, 1 Cd 3.12, 1 Tl 3.45

- Fermi-level density of states: 1.600 states/eV/atom
- Formation energy from raw total energies: -0.47 eV per atom
- Calculated volume: 838.9 Å³/cell
- Total magnetization: 0.583 μB per atom

(9)
Below is NpTl2CdTe4 after structural relaxation, with properties calculated at the GGA-PBE level.

abc: 7.6891 4.4434 8.5464
angles: 90.00 108.74 90.00
Last column: nearest neighbours and their distance in Å.
Space group P2/m (No. 10)
Asymmetric unit:
Np 0.0000 0.0000 0.0000 (multiplicity 1)  6 Te 3.06-3.09
Tl 0.0000 0.5000 0.5000 (multiplicity 1)  6 Te 3.39-3.48
Tl 0.5000 0.0000 0.5000 (multiplicity 1)  6 Te 3.44-3.54
Cd 0.5000 0.5000 0.0000 (multiplicity 1)  6 Te 3.04-3.23
Te 0.2272 0.5000 0.2192 (multiplicity 2)  2 Np 3.06, 1 Cd 3.23, 1 Tl 3.39
Te 0.2650 0.0000 0.7949 (multiplicity 2)  2 Cd 3.04, 1 Np 3.09

- Fermi-level density of states: 0.980 states/eV/atom
- Formation energy from raw total energies: -0.42 eV per atom
- Calculated volume: 276.5 Å³/cell
- Total magnetization: 0.379 μB per atom

(10)
Below is Np3Tl3CdTe8 after structural relaxation, with properties calculated at the GGA-PBE level.

abc: 15.2409 8.7940 9.6880
angles: 90.00 121.64 90.00
Last column: nearest neighbours and their distance in Å.
Space group C2/m (No. 12)
Asymmetric unit:
Np 0.0000 0.0000 0.0000 (multiplicity 2)  6 Te 3.06-3.10
Np 0.2500 0.2500 0.0000 (multiplicity 4)  6 Te 3.06-3.09
Tl 0.0000 0.5000 0.5000 (multiplicity 2)  6 Te 3.46-3.50
Tl 0.2500 0.2500 0.5000 (multiplicity 4)  6 Te 3.46-3.50
Cd 0.0000 0.5000 0.0000 (multiplicity 2)  6 Te 3.11-3.12
Te 0.0140 0.2465 0.7888 (multiplicity 8)  2 Np 3.06-3.07, 1 Cd 3.11
Te 0.2383 0.0000 0.2146 (multiplicity 4)  3 Np 3.09-3.10, 3 Tl 3.46
Te 0.2401 0.5000 0.2116 (multiplicity 4)  2 Np 3.06, 1 Cd 3.12

- Fermi-level density of states: 1.958 states/eV/atom
- Formation energy from raw total energies: -0.48 eV per atom
- Calculated volume: 1105.4 Å³/cell
- Total magnetization: 0.667 μB per atom

(11)
Below is Th2NpCd after structural relaxation, with properties calculated at the GGA-PBE level.

abc: 3.4759 3.4759 9.4260
angles: 90.00 90.00 90.00
Last column: nearest neighbours and their distance in Å.
Space group P4/mmm (No. 123)
Asymmetric unit:
Th 0.0000 0.0000 0.2472 (multiplicity 2)  4 Np 3.39, 4 Cd 3.42, 4 Th 3.48
Np 0.5000 0.5000 0.0000 (multiplicity 1)  8 Th 3.39, 4 Np 3.48
Cd 0.5000 0.5000 0.5000 (multiplicity 1)  8 Th 3.42, 4 Cd 3.48

- Fermi-level density of states: 2.274 states/eV/atom
- Calculated volume: 113.9 Å³/cell
- Total magnetization: 1.087 μB per atom
- ΔE to the lowest computed polymorph: 0 meV/atom

(12)
Below is Th2NpCd after structural relaxation, with properties calculated at the GGA-PBE level.

abc: 3.8213 3.8213 29.8479
angles: 90.00 90.00 120.00
Last column: nearest neighbours and their distance in Å.
Space group R-3m (No. 166, hexagonal axes)
Asymmetric unit:
Th 0.0000 0.0000 0.1111 (multiplicity 6)  3 Np 2.76
Np 0.0000 0.0000 0.5000 (multiplicity 3)  6 Th 2.76
Cd 0.0000 0.0000 0.0000 (multiplicity 3)  2 Th 3.32

- Fermi-level density of states: 1.417 states/eV/atom
- Calculated volume: 377.4 Å³/cell
- Total magnetization: 0.000 μB per atom
- ΔE to the lowest computed polymorph: 624 meV/atom